Record 1
CoTc2PdN | GGA-PBE | relaxed

abc: 4.017 4.017 3.859
angles: 90.00 90.00 90.00
Site moments in Bohr magnetons follow the coordinates.
Positions (direct):
Co 0.000 0.000 0.500  0.62
Tc 0.000 0.500 0.000  0.02
Tc 0.500 0.000 0.000  0.02
Pd 0.500 0.500 0.500  0.08
N 0.000 0.000 0.000  0.00

Computed properties:
Uncorrected formation energy in eV per formula unit: 0.3

---

Record 2
CoTe2PdN | GGA-PBE | relaxed

abc: 5.249 5.249 3.339
angles: 90.00 90.00 90.00
Positions (direct):
Te 0.000 0.500 0.000
Te 0.500 0.000 0.000
Co 0.000 0.000 0.000
Pd 0.500 0.500 0.500
N 0.000 0.000 0.500

Computed properties:
Uncorrected formation energy in eV per formula unit: 1.1
Excess energy over the best structure of this formula in the dataset in meV per atom: 0

---

Record 3
CoTe2PdN | GGA-PBE | relaxed

abc: 5.490 5.490 3.657
angles: 90.00 90.00 90.00
Site moments in Bohr magnetons follow the coordinates.
Positions (direct):
Te 0.000 0.500 0.000  -0.01
Te 0.500 0.000 0.000  -0.01
Co 0.500 0.500 0.500  2.10
Pd 0.000 0.000 0.000  -0.01
N 0.000 0.000 0.500  0.01

Computed properties:
Uncorrected formation energy in eV per formula unit: 5.1
Excess energy over the best structure of this formula in the dataset in meV per atom: 797

---

Record 4
Ti2CoPdN | GGA-PBE | relaxed

abc: 4.111 4.111 3.756
angles: 90.00 90.00 90.00
Site moments in Bohr magnetons follow the coordinates.
Positions (direct):
N 0.000 0.000 0.000  0.01
Co 0.000 0.000 0.500  0.61
Pd 0.500 0.500 0.500  0.02
Ti 0.000 0.500 0.000  -0.01
Ti 0.500 0.000 0.000  -0.01

Computed properties:
Uncorrected formation energy in eV per formula unit: -4.0